Computed, not measured: a geometry-optimized TlNiAs structure at the PBE level of DFT.

Cell and atoms, written as POSCAR:
```
TlNiAs
1.0
-2.657 -2.829 1.684
2.740 -3.156 0.467
2.141 2.855 6.676
As Ni Tl
2 2 2
Direct
0.257 0.215 0.915 As
0.831 0.609 0.650 As
0.340 0.708 0.780 Ni
0.749 0.116 0.785 Ni
0.789 0.682 0.120 Tl
0.299 0.142 0.445 Tl
```

Output
Density of states at the Fermi level: 2.442 states/eV per cell
Formation energy from the elements: -0.175 eV per atom
Distance to the lowest polymorph of the same formula: 0.0 meV/atom

Computed, not measured: a geometry-optimized CePu4Ge2 structure at the PBE level of DFT.

Cell and atoms, written as POSCAR:
```
CePu4Ge2
1.0
-2.724 0.587 4.760
-2.000 -5.114 -0.514
6.239 0.502 0.313
Ge Pu Ce
2 4 1
Direct
0.364 0.364 0.729 Ge
0.636 0.636 0.271 Ge
0.750 0.250 0.500 Pu
0.500 0.000 0.000 Pu
0.000 0.500 0.000 Pu
0.250 0.750 0.500 Pu
0.000 0.000 0.000 Ce
```

Output
Density of states at the Fermi level: 19.169 states/eV per cell
Formation energy from the elements: -0.019 eV per atom

Computed, not measured: a geometry-optimized MoSe structure at the PBE level of DFT.

Cell and atoms, written as POSCAR:
```
MoSe
1.0
3.082 0.000 0.000
0.000 3.082 0.000
0.000 0.000 8.080
Mo Se
2 2
Direct
0.000 0.000 0.004 Mo
0.500 0.500 0.246 Mo
0.500 0.500 0.830 Se
0.000 0.000 0.420 Se
```

Output
Density of states at the Fermi level: 3.254 states/eV per cell
Uncorrected formation energy: -174 meV/atom
Distance to the lowest polymorph of the same formula: 105.1 meV/atom

Computed, not measured: a geometry-optimized LaPm5Pr5 structure at the PBE level of DFT.

Cell and atoms, written as POSCAR:
```
LaPm5Pr5
1.0
6.325 0.000 0.000
-3.163 5.478 0.000
0.000 0.000 11.686
Pm Pr La
5 5 1
Direct
0.667 0.333 0.838 Pm
0.000 0.000 0.000 Pm
0.333 0.667 0.330 Pm
0.667 0.333 0.162 Pm
0.333 0.667 0.670 Pm
0.000 0.000 0.265 Pr
0.830 0.170 0.500 Pr
0.830 0.659 0.500 Pr
0.000 0.000 0.735 Pr
0.341 0.170 0.500 Pr
0.333 0.667 0.000 La
```

Output
Density of states at the Fermi level: 19.215 states/eV per cell
Formation energy from the elements: 0.285 eV per atom
Distance to the lowest polymorph of the same formula: 150.6 meV/atom

Computed, not measured: a geometry-optimized AcLa6PrSm2 structure at the PBE level of DFT.

Cell and atoms, written as POSCAR:
```
AcLa6PrSm2
1.0
10.176 0.000 0.434
0.000 6.951 0.000
-2.924 -3.476 5.117
Ac La Pr Sm
1 6 1 2
Direct
0.500 0.000 0.000 Ac
0.422 0.643 0.287 La
0.171 0.538 0.623 La
0.829 0.462 0.377 La
0.171 0.086 0.623 La
0.829 0.914 0.377 La
0.578 0.357 0.713 La
0.000 0.500 0.000 Pr
0.808 0.934 0.869 Sm
0.192 0.066 0.131 Sm
```

Output
Density of states at the Fermi level: 19.437 states/eV per cell
Formation energy from the elements: 0.171 eV per atom

Computed, not measured: a geometry-optimized Al2CrSe structure at the PBE level of DFT.

Cell and atoms, written as POSCAR:
```
Al2CrSe
1.0
2.966 0.000 0.000
0.000 2.966 0.000
0.000 0.000 7.512
Cr Se Al
1 1 2
Direct
0.000 0.000 0.508 Cr
0.500 0.500 0.681 Se
0.500 0.500 0.286 Al
0.000 0.000 0.025 Al
```

Output
Density of states at the Fermi level: 2.515 states/eV per cell
Uncorrected formation energy: -8 meV/atom
Distance to the lowest polymorph of the same formula: 22.6 meV/atom